PBE-GGA Na2Ac3TbSe6, optimized geometry; raw formation energy = -1.7374 eV per atom; symmetry = No. 12; volume = 349.4 Å³ per cell
1.0
3.805 -6.580 0.000
3.805 6.580 0.000
-2.519 0.000 6.976
Na Ac Tb Se
2 3 1 6
direct
0.165 0.835 0.000
0.835 0.165 0.000
0.000 0.000 0.500
0.329 0.671 0.500
0.671 0.329 0.500
0.500 0.500 0.000
0.098 0.422 0.768
0.257 0.257 0.239
0.422 0.098 0.768
0.578 0.902 0.232
0.743 0.743 0.761
0.902 0.578 0.232